Density functional theory data (GGA-PBE) for a relaxed Th2FeSb crystal.

## Properties
Formation energy from raw total energies in kJ per mole of atoms: 32.4
Total magnetization in μB per atom: 0.349
Uncorrected energy in Ha/atom: -0.23962
D(E_F) in states/eV/atom: 1.027

Cell: 3.3903 3.3903 31.5513 Å, 90.00 90.00 120.00°
Space group R-3m (No. 166, hexagonal axes)
Inequivalent atoms, fractional coordinates:
Th: 0.0000 0.0000 0.0778 [6 per cell]
Fe: 0.0000 0.0000 0.0000 [3 per cell]
Sb: 0.0000 0.0000 0.5000 [3 per cell]

***

Density functional theory data (GGA-PBE) for a relaxed Sm5Ho3Sc2 crystal.

## Properties
Energy of formation in eV/f.u.: 0.394
Total magnetization in μB per atom: 0.000
Uncorrected energy in Ha/atom: -0.18227
D(E_F) in states/eV/atom: 1.399

Cell: 9.3100 9.3116 9.3210 Å, 106.55 106.82 115.13°
Space group P-1 (No. 2)
Inequivalent atoms, fractional coordinates:
Sm: 0.0221 0.0748 0.3459 [2 per cell]
Sm: 0.1290 0.3790 0.7509 [2 per cell]
Sm: 0.2281 0.6767 0.1540 [2 per cell]
Sm: 0.3781 0.1270 0.2489 [2 per cell]
Sm: 0.4740 0.4278 0.6524 [2 per cell]
Ho: 0.0769 0.2280 0.0527 [2 per cell]
Ho: 0.2760 0.8222 0.8484 [2 per cell]
Ho: 0.3234 0.9734 0.5529 [2 per cell]
Sc: 0.1696 0.5235 0.4503 [2 per cell]
Sc: 0.4257 0.2757 0.9491 [2 per cell]

***

Q: Among the records above, which one has the highest uncorrected energy?
A: Sm5Ho3Sc2

***

What did the second record say?
Density functional theory data (GGA-PBE) for a relaxed Sm5Ho3Sc2 crystal.

## Properties
Energy of formation in eV/f.u.: 0.394
Total magnetization in μB per atom: 0.000
Uncorrected energy in Ha/atom: -0.18227
D(E_F) in states/eV/atom: 1.399

Cell: 9.3100 9.3116 9.3210 Å, 106.55 106.82 115.13°
Space group P-1 (No. 2)
Inequivalent atoms, fractional coordinates:
Sm: 0.0221 0.0748 0.3459 [2 per cell]
Sm: 0.1290 0.3790 0.7509 [2 per cell]
Sm: 0.2281 0.6767 0.1540 [2 per cell]
Sm: 0.3781 0.1270 0.2489 [2 per cell]
Sm: 0.4740 0.4278 0.6524 [2 per cell]
Ho: 0.0769 0.2280 0.0527 [2 per cell]
Ho: 0.2760 0.8222 0.8484 [2 per cell]
Ho: 0.3234 0.9734 0.5529 [2 per cell]
Sc: 0.1696 0.5235 0.4503 [2 per cell]
Sc: 0.4257 0.2757 0.9491 [2 per cell]

***

Q: The highest total magnetization belongs to which entry?
A: Th2FeSb